# PBE-GGA PuTh2Te6, optimized geometry
data_PuTh2Te6
_space_group_name_H-M_alt 'P 1'
_space_group_IT_number 1
_cell_length_a 7.3337
_cell_length_b 7.3337
_cell_length_c 13.9062
_cell_angle_alpha 90.00
_cell_angle_beta 90.00
_cell_angle_gamma 90.00
loop_
_space_group_symop_operation_xyz
'x,y,z'
loop_
_atom_site_label
_atom_site_fract_x
_atom_site_fract_y
_atom_site_fract_z
Pu1 0.0000 0.0000 0.0000
Pu2 0.5000 0.5000 0.5000
Th1 0.0000 0.0000 0.3336
Th2 0.5000 0.5000 0.8336
Th3 0.5000 0.5000 0.1664
Th4 0.0000 0.0000 0.6664
Te1 0.3019 0.3019 0.3352
Te2 0.6981 0.6981 0.3352
Te3 0.1981 0.8019 0.8352
Te4 0.8019 0.1981 0.8352
Te5 0.1981 0.8019 0.1648
Te6 0.8019 0.1981 0.1648
Te7 0.3019 0.3019 0.6648
Te8 0.6981 0.6981 0.6648
Te9 0.2984 0.2984 0.0000
Te10 0.7016 0.7016 0.0000
Te11 0.2016 0.7984 0.5000
Te12 0.7984 0.2016 0.5000
# **Formation energy (no corrections)**: -8.1 eV per formula unit